# 1
Material: LaPm12Pr3
Method: DFT, PBE
State: optimized geometry

The total energy comes out at -4.754 eV/atom. Its total moment is 0.00 μB per cell. Its energy of formation is 0.013 eV/atom.

The space group is P4/mmm (No. 123) and the conventional cell measures 5.193, 5.193 and 20.730 Å, with angles of 90.00, 90.00 and 90.00 degrees. The distinct sites, in fractional coordinates, are La at (0.000, 0.000, 0.000), Pm at (0.000, 0.500, 0.126), Pm at (0.000, 0.500, 0.375), Pm at (0.500, 0.500, 0.000), Pm at (0.500, 0.500, 0.251), Pm at (0.500, 0.500, 0.500), Pr at (0.000, 0.000, 0.250) and Pr at (0.000, 0.000, 0.500).

# 2
Material: Nb2GeMoI
Method: DFT, PBE
State: optimized geometry

The total energy comes out at -5.264 eV/atom. Its total moment is 1.64 μB per cell. The uncorrected formation energy is 1044 kJ/mol of formula units.

The space group is P4/mmm (No. 123) and the conventional cell measures 5.023, 5.023 and 5.284 Å, with angles of 90.00, 90.00 and 90.00 degrees. The distinct sites, in fractional coordinates, are Nb at (0.000, 0.500, 0.000), Ge at (0.000, 0.000, 0.500), Mo at (0.500, 0.500, 0.500) and I at (0.000, 0.000, 0.000).

> Look up the total moment of the first one.

0.00 μB per cell